Entry 1:
SnBAu after structural relaxation. Source: Alexandria, functional PBE.

## Properties
**Space group**: P-1 (2)
**D(E_F)**: 1.4 states/eV per cell

Structure (extended XYZ):
```
6
Lattice="4.306 0.000 0.000 -0.073 5.200 0.000 -2.129 -1.809 5.311" Properties=species:S:1:pos:R:3 pbc="T T T"
Sn 0.010 0.221 1.694
Sn 2.095 3.171 3.617
B -0.062 3.400 0.158
B 2.167 -0.008 5.153
Au 0.012 -0.431 4.540
Au 2.093 3.823 0.770
```

Entry 2:
SnBAu after structural relaxation. Source: Alexandria, functional PBE.

## Properties
**Space group**: P1 (1)
**D(E_F)**: 2.2 states/eV per cell

Structure (extended XYZ):
```
6
Lattice="4.109 0.000 0.000 -0.341 4.219 0.000 -0.112 -1.658 6.720" Properties=species:S:1:pos:R:3 pbc="T T T"
Sn 0.000 0.000 0.000
Sn 1.638 2.104 2.930
B 2.624 0.770 4.875
B 3.602 1.949 4.298
Au 0.564 -0.165 4.231
Au 1.989 2.078 0.222
```

Entry 3:
SnBAu after structural relaxation. Source: Alexandria, functional PBE.

## Properties
**Space group**: P1 (1)
**D(E_F)**: 2.9 states/eV per cell

Structure (extended XYZ):
```
6
Lattice="3.220 0.000 0.000 -0.161 6.125 0.000 -0.167 -3.050 5.648" Properties=species:S:1:pos:R:3 pbc="T T T"
Sn 0.000 0.000 0.000
Sn 1.392 2.976 2.089
B 1.200 0.592 5.451
B 2.811 0.713 5.052
Au 1.474 -1.269 4.050
Au 3.018 0.746 2.710
```

Entry 4:
SnBAu after structural relaxation. Source: Alexandria, functional PBE.

## Properties
**Space group**: C2 (5)
**D(E_F)**: 1.6 states/eV per cell

Structure (extended XYZ):
```
6
Lattice="3.014 -3.003 0.000 3.014 3.003 0.000 -0.824 0.000 6.172" Properties=species:S:1:pos:R:3 pbc="T T T"
Sn 1.094 0.000 1.986
Sn 4.111 0.000 4.186
B 2.480 -1.382 0.635
B 2.725 -1.382 5.537
Au 0.861 -0.165 4.850
Au 4.344 -0.165 1.322
```

Entry 5:
ZrSn2BAu after structural relaxation. Source: Alexandria, functional PBE.

## Properties
**Space group**: P4/mmm (123)
**D(E_F)**: 3.9 states/eV per cell

Structure (extended XYZ):
```
5
Lattice="5.557 0.000 0.000 0.000 5.557 0.000 0.000 0.000 5.228" Properties=species:S:1:pos:R:3 pbc="T T T"
Zr 0.000 0.000 0.000
Sn 0.000 2.779 0.000
Sn 2.779 0.000 0.000
B 2.779 2.779 2.614
Au 0.000 0.000 2.614
```

Entry 6:
SrBAu3 after structural relaxation. Source: Alexandria, functional PBE.

## Properties
**Space group**: Pm-3m (221)
**D(E_F)**: 0.0 states/eV per cell
**Energy above the most stable polymorph in this dataset**: 1759 meV/atom

Structure (extended XYZ):
```
5
Lattice="5.836 0.000 0.000 0.000 5.836 0.000 0.000 0.000 5.836" Properties=species:S:1:pos:R:3 pbc="T T T"
Sr 0.000 0.000 0.000
B 2.918 2.918 2.918
Au 0.000 0.000 2.918
Au 0.000 2.918 0.000
Au 2.918 0.000 0.000
```

Entry 7:
Sr2BAu after structural relaxation. Source: Alexandria, functional PBE.

## Properties
**Space group**: I-42d (122)
**D(E_F)**: 6.4 states/eV per cell

Structure (extended XYZ):
```
8
Lattice="-3.939 3.939 3.948 3.939 -3.939 3.948 3.939 3.939 -3.948" Properties=species:S:1:pos:R:3 pbc="T T T"
Sr 1.970 1.682 -0.987
Sr 2.258 -1.970 4.935
Sr 1.970 2.258 2.961
Sr 1.682 5.909 0.987
B 0.000 0.000 0.000
B 0.000 3.939 1.974
Au 3.939 0.000 1.974
Au 0.000 0.000 3.948
```

Entry 8:
SrBAu3 after structural relaxation. Source: Alexandria, functional PBE.

## Properties
**Space group**: Pm-3m (221)
**D(E_F)**: 1.0 states/eV per cell
**Energy above the most stable polymorph in this dataset**: 0 meV/atom

Structure (extended XYZ):
```
5
Lattice="4.605 0.000 0.000 0.000 4.605 0.000 0.000 0.000 4.605" Properties=species:S:1:pos:R:3 pbc="T T T"
Sr 0.000 0.000 0.000
B 2.302 2.302 2.302
Au 0.000 2.302 2.302
Au 2.302 0.000 2.302
Au 2.302 2.302 0.000
```

Entry 9:
SrBAu2 after structural relaxation. Source: Alexandria, functional PBE.

## Properties
**Space group**: I4_1/amd (141)
**D(E_F)**: 3.0 states/eV per cell

Structure (extended XYZ):
```
8
Lattice="-2.651 2.651 6.930 2.651 -2.651 6.930 2.651 2.651 -6.930" Properties=species:S:1:pos:R:3 pbc="T T T"
Sr 2.651 1.325 1.732
Sr 0.000 1.325 5.197
B 2.651 -1.325 5.197
B 0.000 3.976 1.732
Au 0.000 0.000 0.000
Au 1.325 1.325 -3.465
Au 1.325 -1.325 3.465
Au 0.000 2.651 0.000
```

Entry 10:
SrB3Au after structural relaxation. Source: Alexandria, functional PBE.

## Properties
**Space group**: Pm-3m (221)
**D(E_F)**: 4.7 states/eV per cell
**Energy above the most stable polymorph in this dataset**: 0 meV/atom

Structure (extended XYZ):
```
5
Lattice="4.353 0.000 0.000 0.000 4.353 0.000 0.000 0.000 4.353" Properties=species:S:1:pos:R:3 pbc="T T T"
Sr 0.000 0.000 0.000
B 0.000 2.177 2.177
B 2.177 0.000 2.177
B 2.177 2.177 0.000
Au 2.177 2.177 2.177
```

Entry 11:
SrB3Au after structural relaxation. Source: Alexandria, functional PBE.

## Properties
**Space group**: Pm-3m (221)
**D(E_F)**: 7.7 states/eV per cell
**Energy above the most stable polymorph in this dataset**: 1642 meV/atom

Structure (extended XYZ):
```
5
Lattice="4.902 0.000 0.000 0.000 4.902 0.000 0.000 0.000 4.902" Properties=species:S:1:pos:R:3 pbc="T T T"
Sr 0.000 0.000 0.000
B 0.000 0.000 2.451
B 0.000 2.451 0.000
B 2.451 0.000 0.000
Au 2.451 2.451 2.451
```

Entry 12:
Sr3BAu after structural relaxation. Source: Alexandria, functional PBE.

## Properties
**Space group**: Pm-3m (221)
**D(E_F)**: 5.3 states/eV per cell
**Energy above the most stable polymorph in this dataset**: 0 meV/atom

Structure (extended XYZ):
```
5
Lattice="5.564 0.000 0.000 0.000 5.564 0.000 0.000 0.000 5.564" Properties=species:S:1:pos:R:3 pbc="T T T"
Sr 0.000 0.000 2.782
Sr 0.000 2.782 0.000
Sr 2.782 0.000 0.000
B 0.000 0.000 0.000
Au 2.782 2.782 2.782
```

It is found that the total DFT energy (no corrections) values, taken in the order of the records, are -4.328; -4.345; -4.438; -4.343; -3.906; -2.149; -2.964; -3.908; -3.851; -3.704; -2.063; -2.846 eV per atom.
It is found that the energy of formation values, taken in the order of the records, are 0.325; 0.307; 0.214; 0.310; 1.396; 1.489; 0.366; -0.270; -0.122; 1.294; 2.936; 0.154 eV/atom.